# NaSrHg6

A geometry-optimized NaSrHg6 structure (PBE, the Open Quantum Materials Database).

Calculated values
uncorrected energy	-0.90	eV/atom
calculated volume	27.1	Å³/atom

Cell lengths 5.3569, 6.8373, 6.8373 Å; angles 60.03, 90.00, 90.00 degrees
Fractional coordinates of all 8 atoms:
1 Na 0.0000 0.0000 0.0000
2 Sr 0.5000 0.3326 0.3326
3 Hg 0.0000 0.5080 0.5080
4 Hg 0.0000 0.5086 0.9827
5 Hg 0.0000 0.9827 0.5086
6 Hg 0.5000 0.3355 0.8314
7 Hg 0.5000 0.8314 0.3355
8 Hg 0.5000 0.8326 0.8326

---

# NaTaHg

A geometry-optimized NaTaHg structure (PBE, the Open Quantum Materials Database).

Calculated values
uncorrected energy	-3.36	eV/atom
calculated volume	23.4	Å³/atom
polymorph energy (0 for the lowest one)	0	meV/atom

Cell lengths 4.6323, 4.6323, 4.6323 Å; angles 60.00, 60.00, 60.00 degrees
Fractional coordinates of all 3 atoms:
1 Na 0.0000 0.0000 0.0000
2 Ta 0.5000 0.5000 0.5000
3 Hg 0.2500 0.2500 0.2500

---

# NaTbHg6

A geometry-optimized NaTbHg6 structure (PBE, the Open Quantum Materials Database).

Calculated values
uncorrected energy	-1.23	eV/atom
calculated volume	24.5	Å³/atom

Cell lengths 6.6545, 6.6545, 5.1132 Å; angles 90.00, 90.00, 120.00 degrees
Fractional coordinates of all 8 atoms:
1 Na 0.0000 0.0000 0.0000
2 Tb 0.6667 0.3333 0.5000
3 Hg 0.0011 0.5005 0.0000
4 Hg 0.1668 0.3336 0.5000
5 Hg 0.1668 0.8332 0.5000
6 Hg 0.4995 0.5005 0.0000
7 Hg 0.4995 0.9989 0.0000
8 Hg 0.6664 0.8332 0.5000

---

Please write out number 3 again, unchanged.
# NaTbHg6

A geometry-optimized NaTbHg6 structure (PBE, the Open Quantum Materials Database).

Calculated values
uncorrected energy	-1.23	eV/atom
calculated volume	24.5	Å³/atom

Cell lengths 6.6545, 6.6545, 5.1132 Å; angles 90.00, 90.00, 120.00 degrees
Fractional coordinates of all 8 atoms:
1 Na 0.0000 0.0000 0.0000
2 Tb 0.6667 0.3333 0.5000
3 Hg 0.0011 0.5005 0.0000
4 Hg 0.1668 0.3336 0.5000
5 Hg 0.1668 0.8332 0.5000
6 Hg 0.4995 0.5005 0.0000
7 Hg 0.4995 0.9989 0.0000
8 Hg 0.6664 0.8332 0.5000

---

Repeat the first record exactly.
# NaSrHg6

A geometry-optimized NaSrHg6 structure (PBE, the Open Quantum Materials Database).

Calculated values
uncorrected energy	-0.90	eV/atom
calculated volume	27.1	Å³/atom

Cell lengths 5.3569, 6.8373, 6.8373 Å; angles 60.03, 90.00, 90.00 degrees
Fractional coordinates of all 8 atoms:
1 Na 0.0000 0.0000 0.0000
2 Sr 0.5000 0.3326 0.3326
3 Hg 0.0000 0.5080 0.5080
4 Hg 0.0000 0.5086 0.9827
5 Hg 0.0000 0.9827 0.5086
6 Hg 0.5000 0.3355 0.8314
7 Hg 0.5000 0.8314 0.3355
8 Hg 0.5000 0.8326 0.8326

---

Copy entry 2 word for word.
# NaTaHg

A geometry-optimized NaTaHg structure (PBE, the Open Quantum Materials Database).

Calculated values
uncorrected energy	-3.36	eV/atom
calculated volume	23.4	Å³/atom
polymorph energy (0 for the lowest one)	0	meV/atom

Cell lengths 4.6323, 4.6323, 4.6323 Å; angles 60.00, 60.00, 60.00 degrees
Fractional coordinates of all 3 atoms:
1 Na 0.0000 0.0000 0.0000
2 Ta 0.5000 0.5000 0.5000
3 Hg 0.2500 0.2500 0.2500